First-principles (PBE) data for a relaxed HoEr2Co2Ge4 crystal, as listed in OQMD.

Lattice parameters (Å, degrees): 5.661 5.661 7.967 106.46 106.46 42.91
Sites, in units of the cell vectors:
Ho 0.000 0.000 0.000
Er 0.377 0.377 0.307
Er 0.623 0.623 0.693
Co 0.309 0.309 0.629
Co 0.691 0.691 0.371
Ge 0.097 0.097 0.400
Ge 0.290 0.290 0.920
Ge 0.710 0.710 0.080
Ge 0.903 0.903 0.600

Values from the calculation:
- total DFT energy (no corrections) (eV per atom) = -5.88
- symmetry = C2/m, No. 12

***

First-principles (PBE) data for a relaxed NdErCo2Ge2 crystal, as listed in OQMD.

Lattice parameters (Å, degrees): 4.105 4.105 6.740 90.00 90.00 90.00
Sites, in units of the cell vectors:
Nd 0.000 0.000 0.000
Er 0.500 0.500 0.382
Co 0.000 0.500 0.675
Co 0.500 0.000 0.675
Ge 0.000 0.000 0.480
Ge 0.500 0.500 0.868

Values from the calculation:
- total DFT energy (no corrections) (eV per atom) = -6.09
- symmetry = P4mm, No. 99

***

First-principles (PBE) data for a relaxed ErCoNiGe2 crystal, as listed in OQMD.

Lattice parameters (Å, degrees): 3.987 3.987 10.013 90.00 90.00 90.00
Sites, in units of the cell vectors:
Er 0.000 0.000 0.000
Er 0.500 0.500 0.500
Co 0.000 0.500 0.250
Co 0.500 0.000 0.750
Ni 0.000 0.500 0.750
Ni 0.500 0.000 0.250
Ge 0.000 0.000 0.374
Ge 0.000 0.000 0.626
Ge 0.500 0.500 0.126
Ge 0.500 0.500 0.874

Values from the calculation:
- total DFT energy (no corrections) (eV per atom) = -5.92
- symmetry = I-4m2, No. 119

***

First-principles (PBE) data for a relaxed Er2CoNiGe4 crystal, as listed in OQMD.

Lattice parameters (Å, degrees): 4.131 4.060 16.701 90.00 90.00 90.00
Sites, in units of the cell vectors:
Er 0.000 0.000 0.000
Er 0.000 0.500 0.500
Er 0.500 0.000 0.218
Er 0.500 0.500 0.718
Co 0.500 0.000 0.428
Co 0.500 0.500 0.928
Ni 0.000 0.000 0.785
Ni 0.000 0.500 0.285
Ge 0.000 0.000 0.360
Ge 0.000 0.000 0.649
Ge 0.000 0.500 0.149
Ge 0.000 0.500 0.860
Ge 0.500 0.000 0.564
Ge 0.500 0.000 0.858
Ge 0.500 0.500 0.064
Ge 0.500 0.500 0.358

Values from the calculation:
- total DFT energy (no corrections) (eV per atom) = -5.68
- symmetry = Amm2, No. 38

***

First-principles (PBE) data for a relaxed Er4Co2SnGe4 crystal, as listed in OQMD.

Lattice parameters (Å, degrees): 7.953 7.953 6.995 107.54 107.54 30.68
Sites, in units of the cell vectors:
Er 0.089 0.089 0.384
Er 0.155 0.155 0.941
Er 0.845 0.845 0.059
Er 0.911 0.911 0.616
Co 0.279 0.279 0.380
Co 0.721 0.721 0.620
Sn 0.500 0.500 0.000
Ge 0.292 0.292 0.732
Ge 0.430 0.430 0.343
Ge 0.570 0.570 0.657
Ge 0.708 0.708 0.268

Values from the calculation:
- total DFT energy (no corrections) (eV per atom) = -5.72
- symmetry = C2/m, No. 12

***

First-principles (PBE) data for a relaxed ErCo4Sn4Ge2 crystal, as listed in OQMD.

Lattice parameters (Å, degrees): 6.575 6.575 6.575 122.00 122.00 86.58
Sites, in units of the cell vectors:
Er 0.000 0.000 0.000
Co 0.251 0.614 0.000
Co 0.386 0.386 0.637
Co 0.614 0.251 0.000
Co 0.749 0.749 0.363
Sn 0.116 0.116 0.648
Sn 0.469 0.469 0.352
Sn 0.531 0.884 0.000
Sn 0.884 0.531 0.000
Ge 0.000 0.500 0.500
Ge 0.500 0.000 0.500

Values from the calculation:
- total DFT energy (no corrections) (eV per atom) = -5.59
- symmetry = I-42m, No. 121